NaMnHCl2 | GGA-PBE | relaxed

Lattice parameters (Å, degrees): 5.123 5.123 3.639 90.00 90.00 90.00
Each line ends with the local moment (μB).
Positions (direct):
Na1 0.500 0.500 0.500  0.00
Mn1 0.000 0.000 0.000  4.36
H1 0.000 0.000 0.500  -0.01
Cl1 0.000 0.500 0.000  0.07
Cl2 0.500 0.000 0.000  0.07

Properties
Electronic total energy, eV/atom: -4.34
SG: P4/mmm (123)

=====

Na2MnHCl6 | GGA-PBE | relaxed

Lattice parameters (Å, degrees): 7.212 5.964 11.217 90.00 90.06 90.00
Each line ends with the local moment (μB).
Positions (direct):
Na1 0.000 0.001 0.180  0.00
Na2 0.500 0.501 0.320  0.00
Na3 0.500 0.499 0.680  0.00
Na4 0.000 0.999 0.820  0.00
Mn1 0.000 0.500 0.500  3.67
Mn2 0.500 0.000 0.000  3.67
H1 0.000 0.500 0.000  0.00
H2 0.500 0.000 0.500  0.00
Cl1 0.856 0.299 0.643  0.02
Cl2 0.870 0.288 0.000  0.03
Cl3 0.855 0.298 0.357  0.02
Cl4 0.645 0.798 0.143  0.02
Cl5 0.630 0.788 0.500  0.03
Cl6 0.644 0.799 0.857  0.02
Cl7 0.356 0.201 0.143  0.02
Cl8 0.370 0.212 0.500  0.03
Cl9 0.355 0.202 0.857  0.02
Cl10 0.130 0.712 0.000  0.03
Cl11 0.145 0.702 0.643  0.02
Cl12 0.144 0.701 0.357  0.02

Properties
Electronic total energy, eV/atom: -3.80
SG: P2_1/c (14)

=====

Question: electronic total energy of number 2 (Na2MnHCl6)?
Answer: -3.80 eV/atom